The following is a DFT calculation (PBE-GGA) of an optimized crystal structure of DyCd8Ag4. Values from VASP.

density of states at the Fermi level	0.50	states/eV/atom
total DFT energy (no corrections)	-1.91	eV/atom
magnetization	0.000	Bohr magnetons per cell

Cell and atoms, written as Quantum ESPRESSO input:
```
&SYSTEM
  ibrav = 0, nat = 13, ntyp = 3
/
ATOMIC_SPECIES
Ag 107.87 Ag.upf
Cd 112.41 Cd.upf
Dy 162.50 Dy.upf
CELL_PARAMETERS angstrom
0.895 2.572 4.930
5.631 -3.216 3.872
5.031 5.599 -0.618
ATOMIC_POSITIONS crystal
Ag 0.000 0.500 0.000
Cd 0.500 0.211 0.789
Cd 0.289 0.211 0.211
Cd 0.500 0.789 0.211
Dy 0.000 0.000 0.000
Cd 0.711 0.789 0.789
Cd 0.000 0.657 0.343
Ag 0.500 0.500 0.000
Ag 0.000 0.000 0.500
Ag 0.500 0.000 0.500
Cd 0.000 0.343 0.657
Cd 0.657 0.343 0.343
Cd 0.343 0.657 0.657
```